Record 1
Entry from Alexandria: a geometry-optimized Tb3ReO7 structure (GGA-PBEsol).

Computed properties:
- Formation energy from raw total energies: -32.366 eV per formula unit

Lattice parameters (Å, degrees): 6.378 6.378 7.393 90.00 90.00 110.51
Atoms (fractional coordinates):
Tb  0.500  0.500  0.000
Tb  0.500  0.500  0.500
Tb  0.977  0.436  0.250
Tb  0.023  0.564  0.750
Tb  0.436  0.977  0.250
Tb  0.564  0.023  0.750
Re  0.000  0.000  0.000
Re  0.000  0.000  0.500
O  0.345  0.609  0.250
O  0.655  0.391  0.750
O  0.609  0.345  0.250
O  0.391  0.655  0.750
O  0.069  0.325  0.968
O  0.931  0.675  0.468
O  0.325  0.069  0.532
O  0.675  0.931  0.032
O  0.947  0.947  0.750
O  0.053  0.053  0.250
O  0.325  0.069  0.968
O  0.675  0.931  0.468
O  0.069  0.325  0.532
O  0.931  0.675  0.032



Record 2
Entry from Alexandria: a geometry-optimized Ca2SbPbAu structure (GGA-PBEsol).

Computed properties:
- Formation energy from raw total energies: -1.244 eV per formula unit

Lattice parameters (Å, degrees): 5.262 5.517 5.517 90.00 90.00 90.00
Atoms (fractional coordinates):
Pb  0.500  0.500  0.500
Sb  0.500  0.000  0.000
Ca  0.000  0.000  0.500
Ca  0.000  0.500  0.000
Au  0.000  0.000  0.000



Record 3
Entry from Alexandria: a geometry-optimized SnGeIr2 structure (GGA-PBEsol).

Computed properties:
- Formation energy from the elements: 0.100 eV/atom

Lattice parameters (Å, degrees): 4.478 4.478 4.478 60.00 60.00 60.00
Atoms (fractional coordinates):
Ge  0.000  0.000  0.000
Ir  0.250  0.250  0.250
Ir  0.750  0.750  0.750
Sn  0.500  0.500  0.500



Record 4
Entry from Alexandria: a geometry-optimized Li3TaO4 structure (GGA-PBEsol).

Computed properties:
- Energy above the most stable polymorph in this dataset: 0.057 eV/atom
- Formation energy from raw total energies: -19.758 eV per formula unit

Lattice parameters (Å, degrees): 4.085 4.085 5.124 113.49 113.49 90.00
Atoms (fractional coordinates):
Ta  0.000  0.000  0.000
O  0.000  0.500  0.000
O  0.227  0.227  0.455
O  0.500  0.000  0.000
O  0.773  0.773  0.545
Li  0.500  0.500  0.000
Li  0.750  0.250  0.500
Li  0.250  0.750  0.500



Record 5
Entry from Alexandria: a geometry-optimized BaCoAu2 structure (GGA-PBEsol).

Computed properties:
- Formation energy from the elements: 0.008 eV/atom
- Energy above the most stable polymorph in this dataset: 0.154 eV/atom

Lattice parameters (Å, degrees): 4.545 4.558 4.981 90.00 90.07 90.00
Atoms (fractional coordinates):
Co  0.000  0.500  0.773
Au  0.000  0.000  0.963
Au  0.999  0.500  0.281
Ba  0.500  0.000  0.482



no.,calculated density (g/cm3)
1,9.137
2,6.284
3,15.061
4,6.248
5,9.498